Record 1
Here is a relaxed structure of CuSb2Te from the Open Quantum Materials Database. Energies are from PBE.

Unit cell a=6.814 b=6.814 c=9.011 alpha=113.81 beta=113.81 gamma=36.56
Fractional positions:
Cu (0.315, 0.670, 0.352)
Cu (0.330, 0.685, 0.648)
Sb (0.453, 0.120, 0.165)
Sb (0.975, 0.642, 0.403)
Sb (0.358, 0.025, 0.597)
Sb (0.880, 0.547, 0.835)
Te (0.836, 0.208, 0.211)
Te (0.792, 0.164, 0.789)

## Properties
The total energy is -3.698 eV/atom. The crystal system is monoclinic.

=====

Record 2
Here is a relaxed structure of NdCl2 from the Open Quantum Materials Database. Energies are from PBE.

Unit cell a=8.781 b=8.781 c=8.781 alpha=60.00 beta=60.00 gamma=60.00
Fractional positions:
Cl (0.625, 0.125, 0.125)
Cl (0.125, 0.625, 0.125)
Cl (0.125, 0.125, 0.125)
Cl (0.125, 0.125, 0.625)
Nd (0.000, 0.000, 0.000)
Nd (0.250, 0.250, 0.250)

## Properties
The total energy is -4.356 eV/atom. The crystal system is cubic.

=====

Record 3
Here is a relaxed structure of Li4TcOsO6 from the Open Quantum Materials Database. Energies are from PBE.

Unit cell a=4.930 b=4.930 c=5.182 alpha=99.79 beta=99.79 gamma=117.36
Fractional positions:
Li (0.499, 0.501, 0.000)
Li (0.998, 0.002, 0.500)
Li (0.667, 0.333, 0.500)
Li (0.334, 0.666, 0.500)
O (0.918, 0.570, 0.228)
O (0.571, 0.916, 0.230)
O (0.258, 0.258, 0.266)
O (0.742, 0.742, 0.734)
O (0.084, 0.429, 0.770)
O (0.430, 0.082, 0.772)
Os (0.851, 0.149, 0.000)
Tc (0.148, 0.852, 0.000)

## Properties
The total energy is -6.517 eV/atom. The crystal system is monoclinic.

=====

Record 4
Here is a relaxed structure of TbPd from the Open Quantum Materials Database. Energies are from PBE.

Unit cell a=4.074 b=4.074 c=4.074 alpha=60.00 beta=60.00 gamma=60.00
Fractional positions:
Pd (0.000, 0.000, 0.000)
Tb (0.500, 0.500, 0.500)

## Properties
The total energy is -5.644 eV/atom. The crystal system is cubic. For the formation enthalpy at 0 K, the calculation gives -741.8 meV per atom.

=====

Record 5
Here is a relaxed structure of Zr2Co3Mo4C3 from the Open Quantum Materials Database. Energies are from PBE.

Unit cell a=5.278 b=5.278 c=13.396 alpha=101.84 beta=101.84 gamma=59.92
Fractional positions:
C (0.500, 0.000, 0.000)
C (0.172, 0.664, 0.000)
C (0.336, 0.828, 0.500)
C (0.000, 0.500, 0.500)
C (0.664, 0.172, 0.500)
C (0.828, 0.336, 0.000)
Co (0.099, 0.413, 0.249)
Co (0.076, 0.924, 0.250)
Co (0.587, 0.901, 0.251)
Co (0.413, 0.099, 0.749)
Co (0.924, 0.076, 0.750)
Co (0.901, 0.587, 0.751)
Mo (0.855, 0.695, 0.086)
Mo (0.204, 0.020, 0.087)
Mo (0.980, 0.796, 0.413)
Mo (0.305, 0.145, 0.414)
Mo (0.695, 0.855, 0.586)
Mo (0.020, 0.204, 0.587)
Mo (0.796, 0.980, 0.913)
Mo (0.145, 0.305, 0.914)
Zr (0.543, 0.378, 0.124)
Zr (0.622, 0.457, 0.376)
Zr (0.378, 0.543, 0.624)
Zr (0.457, 0.622, 0.876)

## Properties
The total energy is -9.323 eV/atom. The crystal system is monoclinic.

=====

Record 6
Here is a relaxed structure of NaNpN2 from the Open Quantum Materials Database. Energies are from PBE.

Unit cell a=5.911 b=5.911 c=5.911 alpha=34.17 beta=34.17 gamma=34.17
Fractional positions:
N (0.272, 0.272, 0.272)
N (0.728, 0.728, 0.728)
Na (0.500, 0.500, 0.500)
Np (0.000, 0.000, 0.000)

## Properties
The total energy is -8.570 eV/atom. The crystal system is trigonal.

=====

Record 7
Here is a relaxed structure of BaPmAsO from the Open Quantum Materials Database. Energies are from PBE.

Unit cell a=4.966 b=4.966 c=10.066 alpha=90.00 beta=90.00 gamma=90.00
Fractional positions:
As (0.750, 0.750, 0.352)
As (0.250, 0.250, 0.648)
Ba (0.250, 0.250, 0.090)
Ba (0.750, 0.750, 0.910)
O (0.750, 0.250, 0.000)
O (0.250, 0.750, 0.000)
Pm (0.750, 0.250, 0.500)
Pm (0.250, 0.750, 0.500)

## Properties
The total energy is -5.526 eV/atom. The relative energy among the computed polymorphs is 549.2 meV/atom. The crystal system is tetragonal.

=====

Record 8
Here is a relaxed structure of ScGaReNi from the Open Quantum Materials Database. Energies are from PBE.

Unit cell a=4.431 b=4.431 c=4.431 alpha=60.00 beta=60.00 gamma=60.00
Fractional positions:
Ga (0.000, 0.000, 0.000)
Ni (0.750, 0.750, 0.750)
Re (0.500, 0.500, 0.500)
Sc (0.250, 0.250, 0.250)

## Properties
The total energy is -6.639 eV/atom. The crystal system is cubic.